Entry 1:
VASP calculation (PBE-GGA) on a geometry-optimized Pm2Pr3YS6 structure.

abc: 7.0090 7.0090 7.0357
angles: 99.54 99.54 120.15
Closest atoms and distances in Å follow each position.
Fractional positions:
Pm1 0.1668 0.8332 0.0000  6 S 2.84-2.85
Pm2 0.8332 0.1668 0.0000  6 S 2.84-2.85
Pr1 0.0000 0.0000 0.5000  6 S 2.89-2.93
Pr2 0.3304 0.6696 0.5000  6 S 2.89-2.92
Pr3 0.6696 0.3304 0.5000  6 S 2.89-2.92
Y1 0.5000 0.5000 0.0000  6 S 2.78-2.79
S1 0.0937 0.4206 0.7611  1 Y 2.78, 2 Pm 2.84, 3 Pr 2.89-2.92
S2 0.2538 0.2538 0.2416  1 Y 2.79, 2 Pm 2.85, 3 Pr 2.90-2.93
S3 0.4206 0.0937 0.7611  1 Y 2.78, 2 Pm 2.84, 3 Pr 2.89-2.92
S4 0.5794 0.9063 0.2389  1 Y 2.78, 2 Pm 2.84, 3 Pr 2.89-2.92
S5 0.7462 0.7462 0.7584  1 Y 2.79, 2 Pm 2.85, 3 Pr 2.90-2.93
S6 0.9063 0.5794 0.2389  1 Y 2.78, 2 Pm 2.84, 3 Pr 2.89-2.92

Output
* total moment: 0.00 μB/f.u.
* space group: C2/m
* ΔE_f (raw): -2025 meV per atom
* VASP energy: -6.61 eV/atom
* Fermi-level density of states: 5.3 states/eV per cell

---

Entry 2:
VASP calculation (PBE-GGA) on a geometry-optimized Pm4PrYS8 structure.

abc: 8.2808 8.2808 8.2808
angles: 59.87 59.87 59.87
Closest atoms and distances in Å follow each position.
Fractional positions:
Pm1 0.0000 0.0000 0.0000  4 S 2.69-2.70
Pm2 0.3757 0.3757 0.8716  6 S 2.84-2.85
Pm3 0.3757 0.8716 0.3757  6 S 2.84-2.85
Pm4 0.8716 0.3757 0.3757  6 S 2.84-2.85
Pr1 0.3759 0.3759 0.3759  6 S 2.88-2.89
Y1 0.7494 0.7494 0.7494  4 S 2.62-2.64
S1 0.1302 0.1302 0.6020  3 Pm 2.69-2.84, 1 Pr 2.88
S2 0.1302 0.6020 0.1302  3 Pm 2.69-2.84, 1 Pr 2.88
S3 0.1331 0.1331 0.1331  4 Pm 2.70-2.84
S4 0.1375 0.6228 0.6228  1 Y 2.62, 2 Pm 2.85, 1 Pr 2.89
S5 0.6020 0.1302 0.1302  3 Pm 2.69-2.84, 1 Pr 2.88
S6 0.6196 0.6196 0.6196  1 Y 2.64, 3 Pm 2.85
S7 0.6228 0.1375 0.6228  1 Y 2.62, 2 Pm 2.85, 1 Pr 2.89
S8 0.6228 0.6228 0.1375  1 Y 2.62, 2 Pm 2.85, 1 Pr 2.89

Output
* total moment: 0.00 μB/f.u.
* space group: R3m
* ΔE_f (raw): -1916 meV per atom
* VASP energy: -6.43 eV/atom
* Fermi-level density of states: 8.8 states/eV per cell

---

Look up the VASP energy of the first one.
-6.61 eV/atom

---

Which formula does entry 2 have?
Pm4PrYS8

---

The highest Fermi-level density of states belongs to which entry?
Pm4PrYS8

---

The lowest Fermi-level density of states belongs to which entry?
Pm2Pr3YS6